[1]
This record from Alexandria describes a relaxed RbGa2Te4Au crystal. The functional is PBE.

Cell and atoms, written as extended XYZ:
```
8
Lattice="-3.2297 4.5288 4.9451 3.2297 -4.5288 4.9451 3.2297 4.5288 -4.9451" Properties=species:S:1:pos:R:3 pbc="T T T"
Rb 0.0000 0.0000 0.0000
Ga 3.2297 0.0000 3.5277
Ga 0.0000 4.5288 1.4174
Te 1.8651 2.8555 -1.8122
Te 1.3646 -1.6732 6.7573
Te 1.3646 1.6732 3.1328
Te 1.8651 6.2020 1.8122
Au 0.0000 0.0000 4.9451
```

## Properties
* symmetry: I222, No. 23
* raw formation energy: -0.216 eV/atom



[2]
This record from Alexandria describes a relaxed BeNi9Ge2 crystal. The functional is PBE.

Cell and atoms, written as extended XYZ:
```
12
Lattice="3.5475 0.0000 0.0000 0.0000 3.5475 0.0000 0.0000 0.0000 10.5073" Properties=species:S:1:pos:R:3 pbc="T T T"
Be 0.0000 0.0000 0.0000
Ni 0.0000 1.7738 1.6430
Ni 0.0000 1.7738 5.2536
Ni 0.0000 1.7738 8.8643
Ni 1.7738 0.0000 1.6430
Ni 1.7738 0.0000 5.2536
Ni 1.7738 0.0000 8.8643
Ni 1.7738 1.7738 0.0000
Ni 1.7738 1.7738 3.4660
Ni 1.7738 1.7738 7.0413
Ge 0.0000 0.0000 3.4297
Ge 0.0000 0.0000 7.0776
```

## Properties
* symmetry: P4/mmm, No. 123
* energy: -5.6517 eV/atom



[3]
This record from Alexandria describes a relaxed Nd4InI5 crystal. The functional is PBE.

Cell and atoms, written as extended XYZ:
```
10
Lattice="9.8531 -2.2049 0.0000 9.8531 2.2049 0.0000 -1.8932 0.0000 9.0402" Properties=species:S:1:pos:R:3 pbc="T T T"
Nd -0.4140 0.0000 2.0927
Nd 5.0127 0.0000 8.3817
Nd 12.8004 0.0000 0.6585
Nd 18.2271 0.0000 6.9475
In 9.8531 0.0000 0.0000
I 2.6880 0.0000 2.9837
I 1.8041 0.0000 7.4328
I 8.9065 0.0000 4.5201
I 16.0089 0.0000 1.6073
I 15.1250 0.0000 6.0565
```

## Properties
* symmetry: C2/m, No. 12
* raw formation energy: -1.076 eV/atom



[4]
This record from Alexandria describes a relaxed ThPd2Pb crystal. The functional is PBE.

Cell and atoms, written as extended XYZ:
```
4
Lattice="3.7276 0.0000 0.0000 0.0000 3.7276 0.0000 0.0000 0.0000 6.8085" Properties=species:S:1:pos:R:3 pbc="T T T"
Th 0.0000 0.0000 0.0000
Pd 1.8638 1.8638 1.4833
Pd 1.8638 1.8638 5.3252
Pb 0.0000 0.0000 3.4043
```

## Properties
* symmetry: P4/mmm, No. 123
* energy: -5.8914 eV/atom



[5]
This record from Alexandria describes a relaxed Cs2LiAsO4 crystal. The functional is PBE.

Cell and atoms, written as extended XYZ:
```
16
Lattice="0.0000 6.2590 10.8772 2.5044 0.0000 10.8772 2.5044 6.2590 0.0000" Properties=species:S:1:pos:R:3 pbc="T T T"
Cs 1.8783 4.6943 1.0229
Cs 3.1306 7.8238 6.4615
Cs 1.8783 4.6943 15.2930
Cs 3.1306 7.8238 20.7316
Li 0.6261 1.5648 2.7193
Li 4.3828 10.9533 19.0352
As 1.8783 4.6943 8.1579
As 3.1306 7.8238 13.5966
O 2.9513 3.7083 7.2156
O 2.9513 5.6802 9.1002
O 4.2035 6.8378 14.5389
O 4.2035 8.8097 12.6543
O 0.8054 3.7083 9.1002
O 0.8054 5.6802 7.2156
O 2.0576 6.8378 12.6543
O 2.0576 8.8097 14.5389
```

## Properties
* symmetry: Fddd, No. 70
* raw formation energy: -1.712 eV/atom



[6]
This record from Alexandria describes a relaxed PmIn5Cu crystal. The functional is PBE.

Cell and atoms, written as extended XYZ:
```
7
Lattice="4.7305 0.0000 0.0000 0.0000 4.7305 0.0000 0.0000 0.0000 7.6369" Properties=species:S:1:pos:R:3 pbc="T T T"
Pm 0.0000 0.0000 0.0000
In 0.0000 2.3653 2.3045
In 0.0000 2.3653 5.3324
In 2.3653 0.0000 2.3045
In 2.3653 0.0000 5.3324
In 2.3653 2.3653 0.0000
Cu 0.0000 0.0000 3.8184
```

## Properties
* symmetry: P4/mmm, No. 123
* energy: -3.4625 eV/atom